A plane-wave DFT calculation with PBE was carried out for crystalline CsCeZnF6 at its relaxed geometry.

Size of the total moment (μB per cell): 2.0
Formation energy from raw total energies (eV per atom): -3.15

a b c (Å): 8.0768 7.6534 7.6537
angles (deg): 120.00 121.85 90.00
Last column: nearest neighbours and their distance in Å.
Positions (direct):
Cs (0.8394, 0.5894, 0.6788)  9 F 3.13-3.20
Cs (0.1606, 0.4106, 0.3212)  9 F 3.13-3.20
Ce (0.5000, 0.0000, 0.5000)  6 F 2.34-2.40
Ce (0.0000, 0.0000, 0.5000)  6 F 2.34-2.40
Zn (0.5000, 0.5000, 0.0000)  6 F 2.06-2.09
Zn (0.5000, 0.0000, 0.0000)  6 F 2.06-2.09
F (0.5790, 0.8290, 0.1579)  2 Zn 2.09
F (0.8629, 0.1129, 0.7258)  2 Ce 2.34
F (0.8196, 0.1460, 0.2686)  1 Zn 2.06
F (0.4490, 0.6226, 0.2686)  1 Zn 2.06
F (0.4490, 0.1460, 0.2686)  1 Zn 2.06
F (0.8196, 0.6226, 0.2686)  1 Zn 2.06
F (0.4210, 0.1710, 0.8421)  2 Zn 2.09
F (0.1371, 0.8871, 0.2742)  2 Ce 2.34
F (0.1804, 0.8540, 0.7314)  1 Zn 2.06
F (0.5510, 0.3774, 0.7314)  1 Zn 2.06
F (0.5510, 0.8540, 0.7314)  1 Zn 2.06
F (0.1804, 0.3774, 0.7314)  1 Zn 2.06